This record from Alexandria via LeMat-Bulk describes a relaxed structure of ThZrZnAu. The functional is PBE.

Energy ... -5.38 eV per atom
ΔE_f ... -0.249 eV per atom
Space group ... F-43m, No. 216
D(E_F) ... 5.9 states/eV per cell

```
ThZrZnAu
1.0
5.0526 0.0000 0.0000
2.5263 4.3757 0.0000
2.5263 1.4586 4.1254
Zr Au Th Zn
1 1 1 1
Cartesian
2.5263 1.4586 1.0314
5.0526 2.9171 2.0627
7.5789 4.3757 3.0941
0.0000 0.0000 0.0000
```